No. 1
Density functional theory data (SCAN) for a crystal of ZnInSn2 relaxed with PBEsol.

## Properties
- DFT total energy: -470.93 eV/cell

Cell lengths 7.2119, 7.2119, 7.2119 Å; angles 90.00, 90.00, 90.00 degrees
Last column: nearest neighbours and their distance in Å.
Space group Fm-3m (No. 225)
Symmetry-distinct sites (fractional):
Zn1 0.0000 0.0000 0.0000  8 Sn 3.12
In1 0.0000 0.0000 0.5000  8 Sn 3.12
Sn1 0.2500 0.2500 0.2500  4 In 3.12, 4 Zn 3.12

---

No. 2
Density functional theory data (SCAN) for a crystal of AcPrMg2 relaxed with PBEsol.

## Properties
- DFT total energy: -576.55 eV/cell

Cell lengths 7.9208, 7.9208, 7.9208 Å; angles 90.00, 90.00, 90.00 degrees
Last column: nearest neighbours and their distance in Å.
Space group Fm-3m (No. 225)
Symmetry-distinct sites (fractional):
Ac1 0.0000 0.0000 0.0000  8 Mg 3.43
Pr1 0.0000 0.0000 0.5000  8 Mg 3.43
Mg1 0.2500 0.2500 0.2500  4 Pr 3.43, 4 Ac 3.43

---

No. 3
Density functional theory data (SCAN) for a crystal of TcNi2H2 relaxed with PBEsol.

## Properties
- DFT total energy: -148.05 eV/cell

Cell lengths 2.6053, 2.6053, 11.7243 Å; angles 90.00, 90.00, 90.00 degrees
Last column: nearest neighbours and their distance in Å.
Space group I4/mmm (No. 139)
Symmetry-distinct sites (fractional):
Tc1 0.0000 0.0000 0.0000  4 Tc 2.61, 8 Ni 2.61
Ni1 0.0000 0.0000 0.3425  4 H 1.69
H1 0.0000 0.5000 0.2500  4 Ni 1.69, 4 H 1.84

---

No. 4
Density functional theory data (SCAN) for a crystal of RbCuF2 relaxed with PBEsol.

## Properties
- Formation energy without anion corrections: -2.001 eV/atom

Cell lengths 4.1447, 4.1447, 18.8358 Å; angles 90.00, 90.00, 120.00 degrees
Last column: nearest neighbours and their distance in Å.
Space group R-3m (No. 166, hexagonal axes)
Symmetry-distinct sites (fractional):
Rb1 0.0000 0.0000 0.0000  6 F 2.75
Cu1 0.0000 0.0000 0.5000  2 F 1.79
F1 0.0000 0.0000 0.4052  1 Cu 1.79

---

No. 5
Density functional theory data (SCAN) for a crystal of ReTe2Se relaxed with PBEsol.

## Properties
- Formation energy without anion corrections: 0.644 eV/atom

Cell lengths 6.9280, 6.9280, 9.3274 Å; angles 90.00, 90.00, 90.00 degrees
Last column: nearest neighbours and their distance in Å.
Space group I-42d (No. 122)
Symmetry-distinct sites (fractional):
Re1 0.0000 0.0000 0.0000  4 Te 2.53
Te1 0.2050 0.7500 0.1250  2 Re 2.53
Se1 0.0000 0.0000 0.5000  4 Te 2.92

---

No. 6
Density functional theory data (SCAN) for a crystal of LiCdPt2 relaxed with PBEsol.

## Properties
- DFT total energy: -350.10 eV/cell

Cell lengths 5.5634, 7.7953, 2.8321 Å; angles 90.00, 90.00, 90.00 degrees
Last column: nearest neighbours and their distance in Å.
Space group Cmmm (No. 65)
Symmetry-distinct sites (fractional):
Li1 0.0000 0.0000 0.0000  8 Pt 2.78, 2 Cd 2.78, 2 Li 2.83
Cd1 0.0000 0.5000 0.0000  8 Pt 2.78, 2 Li 2.78, 2 Cd 2.83
Pt1 0.2500 0.2500 0.5000  4 Cd 2.78, 4 Li 2.78, 4 Pt 2.78-2.83

---

No. 7
Density functional theory data (SCAN) for a crystal of Te2OsAu relaxed with PBEsol.

## Properties
- Formation energy without anion corrections: 0.268 eV/atom

Cell lengths 4.0904, 4.1703, 5.9992 Å; angles 90.00, 90.08, 90.00 degrees
Last column: nearest neighbours and their distance in Å.
Space group Pm (No. 6)
Symmetry-distinct sites (fractional):
Te1 0.0000 0.0000 0.0000  2 Os 2.53, 1 Au 2.70
Te2 0.4985 0.5000 0.4993  2 Os 2.58
Os1 0.9991 0.5000 0.7612  4 Te 2.53-2.58, 2 Au 2.80
Au1 0.9980 0.0000 0.4497  5 Te 2.70-2.94, 2 Os 2.80

---

No. 8
Density functional theory data (SCAN) for a crystal of ZnAs2Rh relaxed with PBEsol.

## Properties
- DFT total energy: -263.44 eV/cell

Cell lengths 2.9358, 2.9358, 26.3245 Å; angles 90.00, 90.00, 120.00 degrees
Last column: nearest neighbours and their distance in Å.
Space group R3m (No. 160, hexagonal axes)
Symmetry-distinct sites (fractional):
Zn1 0.0000 0.0000 0.0000  3 Rh 2.62, 3 As 2.80
As1 0.0000 0.0000 0.2487  3 Zn 2.80, 6 As 2.94
As2 0.0000 0.0000 0.4768  3 Rh 2.46
Rh1 0.0000 0.0000 0.7426  3 As 2.46, 3 Zn 2.62

---

No. 9
Density functional theory data (SCAN) for a crystal of Nb3TlW relaxed with PBEsol.

## Properties
- DFT total energy: -235.54 eV/cell

Cell lengths 4.8470, 4.8470, 4.8470 Å; angles 90.00, 90.00, 90.00 degrees
Last column: nearest neighbours and their distance in Å.
Space group Pm-3m (No. 221)
Symmetry-distinct sites (fractional):
Nb1 0.0000 0.0000 0.5000  2 W 2.42
Tl1 0.5000 0.5000 0.5000  12 Nb 3.43
W1 0.0000 0.0000 0.0000  6 Nb 2.42

---

No. 10
Density functional theory data (SCAN) for a crystal of KBeCr2 relaxed with PBEsol.

## Properties
- DFT total energy: -88.21 eV/cell

Cell lengths 2.3837, 4.7770, 10.2912 Å; angles 90.00, 90.00, 90.00 degrees
Last column: nearest neighbours and their distance in Å.
Space group Immm (No. 71)
Symmetry-distinct sites (fractional):
K1 0.0000 0.0000 0.0000  2 K 2.38, 4 Be 2.67
Be1 0.0000 0.0000 0.5000  2 Be 2.38, 4 Cr 2.45, 4 K 2.67
Cr1 0.0000 0.5000 0.2084  2 Cr 2.38, 2 Be 2.45

---

No. 11
Density functional theory data (SCAN) for a crystal of Na2CaNbF relaxed with PBEsol.

## Properties
- Formation energy without anion corrections: -0.324 eV/atom

Cell lengths 4.9394, 4.9394, 4.6807 Å; angles 90.00, 90.00, 90.00 degrees
Last column: nearest neighbours and their distance in Å.
Space group P4/mmm (No. 123)
Symmetry-distinct sites (fractional):
Na1 0.0000 0.5000 0.0000  2 F 2.47
Ca1 0.0000 0.0000 0.5000  8 Na 3.40, 4 Nb 3.49
Nb1 0.5000 0.5000 0.5000  2 F 2.34
F1 0.5000 0.5000 0.0000  2 Nb 2.34, 4 Na 2.47

---

No. 12
Density functional theory data (SCAN) for a crystal of RbLi2NiSn relaxed with PBEsol.

## Properties
- DFT total energy: -77.27 eV/cell

Cell lengths 5.2702, 5.2702, 4.8323 Å; angles 90.00, 90.00, 90.00 degrees
Last column: nearest neighbours and their distance in Å.
Space group P4/mmm (No. 123)
Symmetry-distinct sites (fractional):
Rb1 0.0000 0.0000 0.0000  8 Li 3.58, 4 Ni 3.73
Li1 0.0000 0.5000 0.5000  2 Sn 2.64
Ni1 0.5000 0.5000 0.0000  2 Sn 2.42
Sn1 0.5000 0.5000 0.5000  2 Ni 2.42, 4 Li 2.64

---

No. 13
Density functional theory data (SCAN) for a crystal of TiMnSN2 relaxed with PBEsol.

## Properties
- Formation energy without anion corrections: 0.068 eV/atom

Cell lengths 3.5602, 3.5602, 4.6274 Å; angles 90.00, 90.00, 90.00 degrees
Last column: nearest neighbours and their distance in Å.
Space group P4/mmm (No. 123)
Symmetry-distinct sites (fractional):
Ti1 0.0000 0.0000 0.0000  4 S 2.52
Mn1 0.5000 0.5000 0.5000  4 N 1.78
S1 0.5000 0.5000 0.0000  2 Mn 2.31, 4 Ti 2.52
N1 0.0000 0.5000 0.5000  2 Mn 1.78